The following is a PBE calculation of CuNiBr2 after structural relaxation, from the Alexandria database.

Calculated values
SG: Pmmm (47)
Offset from the most stable computed form: 286 meV/atom
DOS at the Fermi energy: 4.11 states/eV/f.u.
Formation energy from raw total energies: 0.70 eV per formula unit

a = 3.521 Å, b = 7.543 Å, c = 3.532 Å
α = 90.00°, β = 90.00°, γ = 90.00°
Site moments in Bohr magnetons follow the coordinates.
Fractional coordinates of all 4 atoms:
Br (0.000, 0.000, 0.000)  0.00
Br (0.500, 0.500, 0.000)  0.03
Cu (0.500, 0.000, 0.500)  0.00
Ni (0.000, 0.500, 0.500)  0.39